Entry 1:
# ReRuO2F PBE-GGA relaxed
# formation energy from raw total energies	34.7	kJ per mole of atoms
# total moment	3.1	Bohr magnetons per cell
data_ReRuO2F
_symmetry_space_group_name_H-M 'P 4/m m m'
_symmetry_Int_Tables_number 123
_symmetry_space_group_name_Hall '-P 4 2'
_cell_length_a 3.946
_cell_length_b 3.946
_cell_length_c 4.235
_cell_angle_alpha 90.00
_cell_angle_beta 90.00
_cell_angle_gamma 90.00
loop_
_atom_site_label
_atom_site_fract_x
_atom_site_fract_y
_atom_site_fract_z
Re1 0.000 0.000 0.000
Ru1 0.500 0.500 0.500
O1 0.000 0.500 0.500
F1 0.500 0.500 0.000



Entry 2:
# ReRuOF2 PBE-GGA relaxed
# formation energy from raw total energies	24.4	kJ per mole of atoms
# total moment	4.5	Bohr magnetons per cell
data_ReRuOF2
_symmetry_space_group_name_H-M 'P 4/m m m'
_symmetry_Int_Tables_number 123
_symmetry_space_group_name_Hall '-P 4 2'
_cell_length_a 4.482
_cell_length_b 4.482
_cell_length_c 3.714
_cell_angle_alpha 90.00
_cell_angle_beta 90.00
_cell_angle_gamma 90.00
loop_
_atom_site_label
_atom_site_fract_x
_atom_site_fract_y
_atom_site_fract_z
Re1 0.000 0.000 0.000
Ru1 0.500 0.500 0.500
O1 0.500 0.500 0.000
F1 0.000 0.500 0.500



Entry 3:
# ReSO2F PBE-GGA relaxed
# formation energy from raw total energies	-49.7	kJ per mole of atoms
# total moment	2.0	Bohr magnetons per cell
data_ReSO2F
_symmetry_space_group_name_H-M 'P 4/m m m'
_symmetry_Int_Tables_number 123
_symmetry_space_group_name_Hall '-P 4 2'
_cell_length_a 3.845
_cell_length_b 3.845
_cell_length_c 4.328
_cell_angle_alpha 90.00
_cell_angle_beta 90.00
_cell_angle_gamma 90.00
loop_
_atom_site_label
_atom_site_fract_x
_atom_site_fract_y
_atom_site_fract_z
Re1 0.000 0.000 0.000
S1 0.500 0.500 0.500
O1 0.000 0.500 0.000
F1 0.000 0.000 0.500



Entry 4:
# ReSO2F PBE-GGA relaxed
# formation energy from raw total energies	68.9	kJ per mole of atoms
# total moment	5.0	Bohr magnetons per cell
data_ReSO2F
_symmetry_space_group_name_H-M 'P 4/m m m'
_symmetry_Int_Tables_number 123
_symmetry_space_group_name_Hall '-P 4 2'
_cell_length_a 3.576
_cell_length_b 3.576
_cell_length_c 5.583
_cell_angle_alpha 90.00
_cell_angle_beta 90.00
_cell_angle_gamma 90.00
loop_
_atom_site_label
_atom_site_fract_x
_atom_site_fract_y
_atom_site_fract_z
Re1 0.000 0.000 0.000
S1 0.500 0.500 0.500
O1 0.000 0.500 0.500
F1 0.500 0.500 0.000



Entry 5:
# ReSbO2F8 PBE-GGA relaxed
# formation energy from raw total energies	-203.6	kJ per mole of atoms
# total moment	0.4	Bohr magnetons per cell
data_ReSbO2F8
_symmetry_space_group_name_H-M 'P 1 21/c 1'
_symmetry_Int_Tables_number 14
_cell_length_a 5.818
_cell_length_b 10.472
_cell_length_c 12.939
_cell_angle_alpha 90.00
_cell_angle_beta 99.66
_cell_angle_gamma 90.00
loop_
_symmetry_equiv_pos_as_xyz
'x,y,z'
'-x,-y,-z'
'-x,y+1/2,-z+1/2'
'x,-y+1/2,z+1/2'
loop_
_atom_site_label
_atom_site_fract_x
_atom_site_fract_y
_atom_site_fract_z
Re1 0.169 0.240 0.288
Sb1 0.500 0.000 0.000
Sb2 0.500 0.000 0.500
O1 0.028 0.101 0.253
O2 0.093 0.168 0.680
F1 0.026 0.693 0.627
F2 0.230 0.574 0.038
F3 0.259 0.066 0.066
F4 0.306 0.638 0.446
F5 0.313 0.154 0.445
F6 0.384 0.102 0.870
F7 0.430 0.578 0.866
F8 0.470 0.196 0.271



Entry 6:
# ReSbOF9 PBE-GGA relaxed
# formation energy from raw total energies	-206.3	kJ per mole of atoms
# total moment	4.0	Bohr magnetons per cell
data_ReSbOF9
_symmetry_space_group_name_H-M 'P 1 21/c 1'
_symmetry_Int_Tables_number 14
_cell_length_a 5.803
_cell_length_b 10.475
_cell_length_c 12.984
_cell_angle_alpha 90.00
_cell_angle_beta 99.37
_cell_angle_gamma 90.00
loop_
_symmetry_equiv_pos_as_xyz
'x,y,z'
'-x,-y,-z'
'-x,y+1/2,-z+1/2'
'x,-y+1/2,z+1/2'
loop_
_atom_site_label
_atom_site_fract_x
_atom_site_fract_y
_atom_site_fract_z
Re1 0.177 0.021 0.295
Sb1 0.486 0.747 0.503
O1 0.017 0.148 0.250
F1 0.030 0.074 0.638
F2 0.122 0.592 0.684
F3 0.246 0.666 0.056
F4 0.249 0.195 0.054
F5 0.297 0.610 0.445
F6 0.302 0.095 0.439
F7 0.400 0.173 0.866
F8 0.411 0.644 0.878
F9 0.474 0.053 0.262



no.,total DFT energy (no corrections) (eV for the cell shown)
1,-31.71
2,-29.16
3,-30.94
4,-24.79
5,-267.14
6,-256.09